(1)
This record from the Alexandria database describes a relaxed structure of ZrCdP3. The functional is GGA-PBE.

abc: 5.0261 5.0261 5.0261
angles: 90.00 90.00 90.00
Fractional coordinates of all 5 atoms:
P1 0.0000 0.0000 0.5000
Cd1 0.5000 0.5000 0.5000
P2 0.5000 0.0000 0.0000
Zr1 0.0000 0.0000 0.0000
P3 0.0000 0.5000 0.0000

Calculated values
Total energy: -4.779 eV/atom
Calculated formation energy: 0.36 eV per atom

(2)
This record from the Alexandria database describes a relaxed structure of ZrCd2P. The functional is GGA-PBE.

abc: 6.2865 6.2865 6.2865
angles: 146.12 143.39 50.73
Fractional coordinates of all 4 atoms:
Cd1 0.7847 0.7847 0.0000
P1 0.0000 0.5000 0.5000
Cd2 0.2153 0.2153 0.0000
Zr1 0.5000 0.0000 0.5000

Calculated values
Total energy: -4.267 eV/atom
Calculated formation energy: -0.32 eV per atom

(3)
This record from the Alexandria database describes a relaxed structure of ZrCd2P. The functional is GGA-PBE.

abc: 5.3707 5.3707 5.3707
angles: 133.79 133.79 67.42
Fractional coordinates of all 4 atoms:
P1 0.5000 0.5000 0.0000
Zr1 0.7500 0.2500 0.5000
Cd1 0.0000 0.0000 0.0000
Cd2 0.2500 0.7500 0.5000

Calculated values
Total energy: -4.032 eV/atom
Calculated formation energy: -0.09 eV per atom

(4)
This record from the Alexandria database describes a relaxed structure of ZrCd4P. The functional is GGA-PBE.

abc: 5.6955 5.6955 5.6955
angles: 60.00 60.00 60.00
Last column: magnetic moment on the atom in μB.
Fractional coordinates of all 6 atoms:
Cd1 0.3749 0.8754 0.3749  0.02
Cd2 0.3749 0.3749 0.8754  0.02
P1 0.7500 0.7500 0.7500  -0.02
Zr1 0.0000 0.0000 0.0000  0.54
Cd3 0.8754 0.3749 0.3749  0.02
Cd4 0.3749 0.3749 0.3749  0.02

Calculated values
Total energy: -2.586 eV/atom
Calculated formation energy: 0.35 eV per atom

(5)
This record from the Alexandria database describes a relaxed structure of ZrCd2P. The functional is GGA-PBE.

abc: 9.9440 9.9440 9.9440
angles: 18.13 18.13 18.13
Fractional coordinates of all 4 atoms:
P1 0.5000 0.5000 0.5000
Cd1 0.7551 0.7551 0.7551
Zr1 0.0000 0.0000 0.0000
Cd2 0.2449 0.2449 0.2449

Calculated values
Total energy: -3.752 eV/atom
Calculated formation energy: 0.20 eV per atom

(6)
This record from the Alexandria database describes a relaxed structure of ZrCd2P. The functional is GGA-PBE.

abc: 8.0881 8.0881 6.2965
angles: 50.04 50.04 90.00
Fractional coordinates of all 8 atoms:
Cd1 0.3750 0.4223 0.7500
Zr1 0.7500 0.2500 0.5000
P1 0.5000 0.5000 0.0000
Cd2 0.1723 0.6250 0.2500
P2 0.2500 0.7500 0.5000
Cd3 0.5777 0.1250 0.2500
Cd4 0.8750 0.8277 0.7500
Zr2 0.0000 0.0000 0.0000

Calculated values
Total energy: -4.042 eV/atom
Calculated formation energy: -0.10 eV per atom

(7)
This record from the Alexandria database describes a relaxed structure of ZrCd2P. The functional is GGA-PBE.

abc: 4.8383 4.8383 4.8383
angles: 60.00 60.00 60.00
Fractional coordinates of all 4 atoms:
P1 0.5000 0.5000 0.5000
Cd1 0.0000 0.0000 0.0000
Zr1 0.2500 0.2500 0.2500
Cd2 0.7500 0.7500 0.7500

Calculated values
Total energy: -3.881 eV/atom
Calculated formation energy: 0.07 eV per atom

(8)
This record from the Alexandria database describes a relaxed structure of ZrCd2P. The functional is GGA-PBE.

abc: 3.5488 3.5488 6.8788
angles: 90.00 90.00 90.00
Fractional coordinates of all 4 atoms:
Cd1 0.0000 0.0000 0.9895
Zr1 0.5000 0.5000 0.6859
P1 0.0000 0.0000 0.5857
Cd2 0.5000 0.5000 0.2389

Calculated values
Total energy: -4.310 eV/atom
Calculated formation energy: -0.36 eV per atom

(9)
This record from the Alexandria database describes a relaxed structure of ZrCdP4. The functional is GGA-PBE.

abc: 5.2120 5.2120 5.2120
angles: 60.00 60.00 60.00
Fractional coordinates of all 6 atoms:
P1 0.1301 0.6233 0.6233
P2 0.6233 0.1301 0.6233
P3 0.6233 0.6233 0.1301
Cd1 0.0000 0.0000 0.0000
Zr1 0.2500 0.2500 0.2500
P4 0.6233 0.6233 0.6233

Calculated values
Total energy: -4.963 eV/atom
Calculated formation energy: 0.22 eV per atom

(10)
This record from the Alexandria database describes a relaxed structure of PaCd5. The functional is GGA-PBE.

abc: 3.1077 3.1077 14.1034
angles: 90.00 90.00 90.00
Last column: magnetic moment on the atom in μB.
Fractional coordinates of all 6 atoms:
Cd1 0.5000 0.5000 0.3397  0.00
Cd2 0.5000 0.5000 0.6603  0.00
Cd3 0.0000 0.0000 0.5000  0.00
Pa1 0.5000 0.5000 0.0000  0.59
Cd4 0.0000 0.0000 0.1788  0.00
Cd5 0.0000 0.0000 0.8212  0.00

Calculated values
Total energy: -2.287 eV/atom
Calculated formation energy: 0.06 eV per atom

(11)
This record from the Alexandria database describes a relaxed structure of PaCd3. The functional is GGA-PBE.

abc: 4.6292 4.6292 4.6292
angles: 90.00 90.00 90.00
Last column: magnetic moment on the atom in μB.
Fractional coordinates of all 4 atoms:
Cd1 0.5000 0.5000 0.0000  0.03
Pa1 0.0000 0.0000 0.0000  1.05
Cd2 0.0000 0.5000 0.5000  0.03
Cd3 0.5000 0.0000 0.5000  0.03

Calculated values
Total energy: -2.835 eV/atom
Calculated formation energy: 0.22 eV per atom

(12)
This record from the Alexandria database describes a relaxed structure of Pa5Cd. The functional is GGA-PBE.

abc: 3.2041 5.5320 8.7645
angles: 108.40 90.00 90.00
Fractional coordinates of all 6 atoms:
Pa1 0.0000 0.6600 0.3201
Pa2 0.5000 0.8259 0.6517
Pa3 0.5000 0.1741 0.3483
Pa4 0.5000 0.5000 0.0000
Cd1 0.0000 0.0000 0.0000
Pa5 0.0000 0.3400 0.6799

Calculated values
Total energy: -8.007 eV/atom
Calculated formation energy: 0.06 eV per atom

(13)
This record from the Alexandria database describes a relaxed structure of PaCd5. The functional is GGA-PBE.

abc: 4.7862 4.6831 6.8015
angles: 110.14 90.00 90.00
Last column: magnetic moment on the atom in μB.
Fractional coordinates of all 6 atoms:
Pa1 0.0000 0.0000 0.0000  0.86
Cd1 0.5000 0.1675 0.3349  0.00
Cd2 0.5000 0.5000 0.0000  0.01
Cd3 0.0000 0.6769 0.3537  0.01
Cd4 0.0000 0.3231 0.6463  0.01
Cd5 0.5000 0.8325 0.6651  0.00

Calculated values
Total energy: -2.231 eV/atom
Calculated formation energy: 0.11 eV per atom

(14)
This record from the Alexandria database describes a relaxed structure of PaCd3. The functional is GGA-PBE.

abc: 2.9961 5.8552 6.4242
angles: 117.11 103.48 90.00
Last column: magnetic moment on the atom in μB.
Fractional coordinates of all 4 atoms:
Pa1 0.0000 0.9783 0.0000  0.99
Cd1 0.7588 0.1129 0.5176  -0.01
Cd2 0.2412 0.5953 0.4824  -0.01
Cd3 0.5000 0.4802 0.0000  0.00

Calculated values
Total energy: -2.898 eV/atom
Calculated formation energy: 0.16 eV per atom

(15)
This record from the Alexandria database describes a relaxed structure of PaCd6. The functional is GGA-PBE.

abc: 6.6085 6.6085 6.6085
angles: 109.47 109.47 109.47
Last column: magnetic moment on the atom in μB.
Fractional coordinates of all 7 atoms:
Pa1 0.0000 0.0000 0.0000  1.92
Cd1 0.7500 0.5000 0.2500  -0.01
Cd2 0.2500 0.5000 0.7500  -0.01
Cd3 0.5000 0.2500 0.7500  -0.01
Cd4 0.2500 0.7500 0.5000  -0.01
Cd5 0.5000 0.7500 0.2500  -0.01
Cd6 0.7500 0.2500 0.5000  -0.01

Calculated values
Total energy: -1.402 eV/atom
Calculated formation energy: 0.74 eV per atom